1.
This record from the Alexandria database describes a geometry-optimized MgRh3C structure. The functional is PBE-GGA.

abc: 4.522 4.522 19.577
angles: 90.00 90.00 90.00
Space group I-4m2 (No. 119)
Symmetry-distinct sites (fractional):
1 Mg 0.000 0.000 0.000 (multiplicity 2)
2 Mg 0.000 0.500 0.250 (multiplicity 2)
3 Rh 0.000 0.000 0.356 (multiplicity 4)
4 Rh 0.000 0.246 0.123 (multiplicity 8)
5 C 0.000 0.500 0.641 (multiplicity 4)

- Crystal system: tetragonal
- Energy of formation: 1.062 eV per atom
- Final energy: -5.512 eV per atom

***

2.
This record from the Alexandria database describes a geometry-optimized MgRe structure. The functional is PBE-GGA.

abc: 4.0228 4.0228 5.2540
angles: 90.00 90.00 120.00
Space group P6_3/mmc (No. 194)
Symmetry-distinct sites (fractional):
1 Mg 0.0000 0.0000 0.0000 (multiplicity 2)
2 Re 0.3333 0.6667 0.2500 (multiplicity 2)

- Crystal system: hexagonal
- Energy of formation: 1.863 eV per atom
- Energy above the most stable polymorph in this dataset: 3.59 eV per formula unit
- Final energy: -5.158 eV per atom

***

3.
This record from the Alexandria database describes a geometry-optimized Cd2PbAu structure. The functional is PBE-GGA.

abc: 8.270 8.270 6.022
angles: 90.00 90.00 90.00
Space group I-42d (No. 122)
Symmetry-distinct sites (fractional):
1 Cd 0.215 0.250 0.125 (multiplicity 8)
2 Pb 0.000 0.000 0.500 (multiplicity 4)
3 Au 0.000 0.000 0.000 (multiplicity 4)

- Crystal system: tetragonal
- Energy of formation: 0.024 eV per atom
- Final energy: -2.180 eV per atom

***

4.
This record from the Alexandria database describes a geometry-optimized LaRe structure. The functional is PBE-GGA.

abc: 3.1639 3.1639 4.9140
angles: 90.00 90.00 120.00
Space group P-6m2 (No. 187)
Symmetry-distinct sites (fractional):
1 La 0.0000 0.0000 0.0000 (multiplicity 1)
2 Re 0.3333 0.6667 0.5000 (multiplicity 1)

- Crystal system: hexagonal
- Energy of formation: 0.983 eV per atom
- Energy above the most stable polymorph in this dataset: 1.66 eV per formula unit
- Final energy: -7.705 eV per atom

***

Look up the final energy of the third one. -2.180 eV per atom